# PuZnInHg | Alexandria | GGA-PBE | relaxed
data_PuZnInHg
_chemical_formula_sum 'Pu1 Zn1 In1 Hg1'
_cell_length_a 5.0627
_cell_length_b 5.0627
_cell_length_c 5.0627
_cell_angle_alpha 60.00
_cell_angle_beta 60.00
_cell_angle_gamma 60.00
_symmetry_space_group_name_H-M 'P 1'
_symmetry_Int_Tables_number 1
loop_
_symmetry_equiv_pos_as_xyz
'x,y,z'
loop_
_atom_site_label
_atom_site_fract_x
_atom_site_fract_y
_atom_site_fract_z
Pu1 0.0000 0.0000 0.0000
Zn1 0.7500 0.7500 0.7500
In1 0.5000 0.5000 0.5000
Hg1 0.2500 0.2500 0.2500
# Raw total energy: -19.15 eV for the cell shown
# ΔH_f (0 K): -127 meV per atom
# Size of the total moment: 5.57 μB/f.u.

***

# PuZrInHg | Alexandria | GGA-PBE | relaxed
data_PuZrInHg
_chemical_formula_sum 'Pu1 Zr1 In1 Hg1'
_cell_length_a 5.1860
_cell_length_b 5.1860
_cell_length_c 5.1860
_cell_angle_alpha 60.00
_cell_angle_beta 60.00
_cell_angle_gamma 60.00
_symmetry_space_group_name_H-M 'P 1'
_symmetry_Int_Tables_number 1
loop_
_symmetry_equiv_pos_as_xyz
'x,y,z'
loop_
_atom_site_label
_atom_site_fract_x
_atom_site_fract_y
_atom_site_fract_z
Pu1 0.0000 0.0000 0.0000
Zr1 0.5000 0.5000 0.5000
In1 0.7500 0.7500 0.7500
Hg1 0.2500 0.2500 0.2500
# Raw total energy: -26.16 eV for the cell shown
# ΔH_f (0 K): -61 meV per atom
# Size of the total moment: 6.83 μB/f.u.
# Energy relative to the lowest polymorph listed for this composition: 135 meV per atom

***

# PuZrInHg | Alexandria | GGA-PBE | relaxed
data_PuZrInHg
_chemical_formula_sum 'Pu1 Zr1 In1 Hg1'
_cell_length_a 3.1797
_cell_length_b 3.1797
_cell_length_c 9.2385
_cell_angle_alpha 90.00
_cell_angle_beta 90.00
_cell_angle_gamma 90.00
_symmetry_space_group_name_H-M 'P 1'
_symmetry_Int_Tables_number 1
loop_
_symmetry_equiv_pos_as_xyz
'x,y,z'
loop_
_atom_site_label
_atom_site_fract_x
_atom_site_fract_y
_atom_site_fract_z
Pu1 0.0000 0.0000 0.0000
Zr1 0.0000 0.0000 0.5051
In1 0.5000 0.5000 0.2679
Hg1 0.5000 0.5000 0.7370
# Raw total energy: -26.70 eV for the cell shown
# ΔH_f (0 K): -196 meV per atom
# Size of the total moment: 5.72 μB/f.u.
# Energy relative to the lowest polymorph listed for this composition: 0 meV per atom

***

# Rb2InHg | Alexandria | GGA-PBE | relaxed
data_Rb2InHg
_chemical_formula_sum 'Rb2 In1 Hg1'
_cell_length_a 7.0231
_cell_length_b 7.0231
_cell_length_c 5.1020
_cell_angle_alpha 111.10
_cell_angle_beta 111.10
_cell_angle_gamma 59.45
_symmetry_space_group_name_H-M 'P 1'
_symmetry_Int_Tables_number 1
loop_
_symmetry_equiv_pos_as_xyz
'x,y,z'
loop_
_atom_site_label
_atom_site_fract_x
_atom_site_fract_y
_atom_site_fract_z
Rb1 0.1882 0.1882 0.1885
Rb2 0.8118 0.8118 0.8115
In1 0.4990 0.5010 0.0000
Hg1 0.3164 0.6836 0.5000
# Raw total energy: -5.37 eV for the cell shown
# ΔH_f (0 K): -100 meV per atom
# Size of the total moment: 0.00 μB/f.u.
# Energy relative to the lowest polymorph listed for this composition: 22 meV per atom

***

# RbIn6Hg12 | Alexandria | GGA-PBE | relaxed
data_RbIn6Hg12
_chemical_formula_sum 'Rb1 In6 Hg12'
_cell_length_a 8.6158
_cell_length_b 8.6158
_cell_length_c 8.6158
_cell_angle_alpha 104.82
_cell_angle_beta 104.82
_cell_angle_gamma 104.82
_symmetry_space_group_name_H-M 'P 1'
_symmetry_Int_Tables_number 1
loop_
_symmetry_equiv_pos_as_xyz
'x,y,z'
loop_
_atom_site_label
_atom_site_fract_x
_atom_site_fract_y
_atom_site_fract_z
Rb1 0.0000 0.0000 0.0000
In1 0.2822 0.2822 0.7135
In2 0.2822 0.7135 0.2822
In3 0.2865 0.7178 0.7178
In4 0.7135 0.2822 0.2822
In5 0.7178 0.2865 0.7178
In6 0.7178 0.7178 0.2865
Hg1 0.1107 0.5000 0.8893
Hg2 0.1107 0.8893 0.5000
Hg3 0.1490 0.3940 0.3940
Hg4 0.3940 0.1490 0.3940
Hg5 0.3940 0.3940 0.1490
Hg6 0.5000 0.1107 0.8893
Hg7 0.5000 0.8893 0.1107
Hg8 0.6060 0.6060 0.8510
Hg9 0.6060 0.8510 0.6060
Hg10 0.8510 0.6060 0.6060
Hg11 0.8893 0.1107 0.5000
Hg12 0.8893 0.5000 0.1107
# Raw total energy: -21.47 eV for the cell shown
# ΔH_f (0 K): -24 meV per atom
# Size of the total moment: 0.00 μB/f.u.
# Energy relative to the lowest polymorph listed for this composition: 14 meV per atom

***

# RbIn6Hg12 | Alexandria | GGA-PBE | relaxed
data_RbIn6Hg12
_chemical_formula_sum 'Rb1 In6 Hg12'
_cell_length_a 8.9629
_cell_length_b 8.9629
_cell_length_c 8.9629
_cell_angle_alpha 110.50
_cell_angle_beta 110.50
_cell_angle_gamma 110.50
_symmetry_space_group_name_H-M 'P 1'
_symmetry_Int_Tables_number 1
loop_
_symmetry_equiv_pos_as_xyz
'x,y,z'
loop_
_atom_site_label
_atom_site_fract_x
_atom_site_fract_y
_atom_site_fract_z
Rb1 0.0000 0.0000 0.0000
In1 0.0349 0.3213 0.5376
In2 0.3213 0.5376 0.0349
In3 0.4624 0.9651 0.6787
In4 0.5376 0.0349 0.3213
In5 0.6787 0.4624 0.9651
In6 0.9651 0.6787 0.4624
Hg1 0.1215 0.7434 0.1996
Hg2 0.1996 0.1215 0.7434
Hg3 0.2119 0.4905 0.3420
Hg4 0.2566 0.8004 0.8785
Hg5 0.3420 0.2119 0.4905
Hg6 0.4905 0.3420 0.2119
Hg7 0.5095 0.6580 0.7881
Hg8 0.6580 0.7881 0.5095
Hg9 0.7434 0.1996 0.1215
Hg10 0.7881 0.5095 0.6580
Hg11 0.8004 0.8785 0.2566
Hg12 0.8785 0.2566 0.8004
# Raw total energy: -21.73 eV for the cell shown
# ΔH_f (0 K): -37 meV per atom
# Size of the total moment: 0.00 μB/f.u.
# Energy relative to the lowest polymorph listed for this composition: 0 meV per atom

***

# RbIn5Hg | Alexandria | GGA-PBE | relaxed
data_RbIn5Hg
_chemical_formula_sum 'Rb1 In5 Hg1'
_cell_length_a 4.6029
_cell_length_b 4.6029
_cell_length_c 10.9397
_cell_angle_alpha 90.00
_cell_angle_beta 90.00
_cell_angle_gamma 90.00
_symmetry_space_group_name_H-M 'P 1'
_symmetry_Int_Tables_number 1
loop_
_symmetry_equiv_pos_as_xyz
'x,y,z'
loop_
_atom_site_label
_atom_site_fract_x
_atom_site_fract_y
_atom_site_fract_z
Rb1 0.0000 0.0000 0.0000
In1 0.0000 0.5000 0.2867
In2 0.0000 0.5000 0.7133
In3 0.5000 0.0000 0.2867
In4 0.5000 0.0000 0.7133
In5 0.5000 0.5000 0.5000
Hg1 0.0000 0.0000 0.5000
# Raw total energy: -15.19 eV for the cell shown
# ΔH_f (0 K): -33 meV per atom
# Size of the total moment: 0.00 μB/f.u.

***

# Rb2InHg12 | Alexandria | GGA-PBE | relaxed
data_Rb2InHg12
_chemical_formula_sum 'Rb4 In2 Hg24'
_cell_length_a 7.3271
_cell_length_b 7.3271
_cell_length_c 18.1702
_cell_angle_alpha 90.00
_cell_angle_beta 90.00
_cell_angle_gamma 90.00
_symmetry_space_group_name_H-M 'P 1'
_symmetry_Int_Tables_number 1
loop_
_symmetry_equiv_pos_as_xyz
'x,y,z'
loop_
_atom_site_label
_atom_site_fract_x
_atom_site_fract_y
_atom_site_fract_z
Rb1 0.2500 0.7500 0.2464
Rb2 0.2500 0.7500 0.7536
Rb3 0.7500 0.2500 0.2464
Rb4 0.7500 0.2500 0.7536
In1 0.2500 0.7500 0.0000
In2 0.7500 0.2500 0.0000
Hg1 0.0001 0.9999 0.0908
Hg2 0.9999 0.0001 0.9092
Hg3 0.9999 0.4999 0.0908
Hg4 0.0001 0.5001 0.9092
Hg5 0.0937 0.5937 0.4338
Hg6 0.0937 0.9063 0.5662
Hg7 0.2500 0.2500 0.1826
Hg8 0.2500 0.2500 0.3523
Hg9 0.2500 0.2500 0.6477
Hg10 0.2500 0.2500 0.8174
Hg11 0.4063 0.5937 0.5662
Hg12 0.4063 0.9063 0.4338
Hg13 0.5001 0.0001 0.0908
Hg14 0.4999 0.9999 0.9092
Hg15 0.4999 0.5001 0.0908
Hg16 0.5001 0.4999 0.9092
Hg17 0.5937 0.0937 0.5662
Hg18 0.5937 0.4063 0.4338
Hg19 0.7500 0.7500 0.1826
Hg20 0.7500 0.7500 0.3523
Hg21 0.7500 0.7500 0.6477
Hg22 0.7500 0.7500 0.8174
Hg23 0.9063 0.0937 0.4338
Hg24 0.9063 0.4063 0.5662
# Raw total energy: -20.26 eV for the cell shown
# ΔH_f (0 K): -122 meV per atom
# Size of the total moment: 0.00 μB/f.u.

***

# Rb2InHg5 | Alexandria | GGA-PBE | relaxed
data_Rb2InHg5
_chemical_formula_sum 'Rb2 In1 Hg5'
_cell_length_a 5.1847
_cell_length_b 6.8648
_cell_length_c 8.3373
_cell_angle_alpha 66.06
_cell_angle_beta 89.80
_cell_angle_gamma 89.79
_symmetry_space_group_name_H-M 'P 1'
_symmetry_Int_Tables_number 1
loop_
_symmetry_equiv_pos_as_xyz
'x,y,z'
loop_
_atom_site_label
_atom_site_fract_x
_atom_site_fract_y
_atom_site_fract_z
Rb1 0.0000 0.0000 0.0000
Rb2 0.5003 0.4306 0.1504
In1 0.4955 0.3995 0.6824
Hg1 0.0002 0.6033 0.7896
Hg2 0.0024 0.0500 0.4452
Hg3 0.4992 0.8368 0.3473
Hg4 0.5033 0.9303 0.7064
Hg5 0.9950 0.5021 0.4469
# Raw total energy: -7.60 eV for the cell shown
# ΔH_f (0 K): -177 meV per atom
# Size of the total moment: 0.00 μB/f.u.
# Energy relative to the lowest polymorph listed for this composition: 0 meV per atom

***

# Rb3In2Hg4 | Alexandria | GGA-PBE | relaxed
data_Rb3In2Hg4
_chemical_formula_sum 'Rb6 In4 Hg8'
_cell_length_a 9.4642
_cell_length_b 9.4642
_cell_length_c 8.3885
_cell_angle_alpha 98.36
_cell_angle_beta 98.36
_cell_angle_gamma 79.65
_symmetry_space_group_name_H-M 'P 1'
_symmetry_Int_Tables_number 1
loop_
_symmetry_equiv_pos_as_xyz
'x,y,z'
loop_
_atom_site_label
_atom_site_fract_x
_atom_site_fract_y
_atom_site_fract_z
Rb1 0.0650 0.9350 0.7500
Rb2 0.2387 0.5214 0.3879
Rb3 0.4786 0.7613 0.1121
Rb4 0.5214 0.2387 0.8879
Rb5 0.7613 0.4786 0.6121
Rb6 0.9350 0.0650 0.2500
In1 0.0249 0.3363 0.9572
In2 0.3363 0.0249 0.4572
In3 0.6637 0.9751 0.5428
In4 0.9751 0.6637 0.0428
Hg1 0.1544 0.2616 0.6445
Hg2 0.2242 0.5611 0.8337
Hg3 0.2616 0.1544 0.1445
Hg4 0.4389 0.7758 0.6663
Hg5 0.5611 0.2242 0.3337
Hg6 0.7383 0.8456 0.8555
Hg7 0.7758 0.4389 0.1663
Hg8 0.8456 0.7383 0.3555
# Raw total energy: -21.84 eV for the cell shown
# ΔH_f (0 K): -148 meV per atom
# Size of the total moment: 0.00 μB/f.u.
# Energy relative to the lowest polymorph listed for this composition: 45 meV per atom

***

# Rb3InHg | Alexandria | GGA-PBE | relaxed
data_Rb3InHg
_chemical_formula_sum 'Rb3 In1 Hg1'
_cell_length_a 7.1626
_cell_length_b 7.1626
_cell_length_c 7.1626
_cell_angle_alpha 90.00
_cell_angle_beta 90.00
_cell_angle_gamma 90.00
_symmetry_space_group_name_H-M 'P 1'
_symmetry_Int_Tables_number 1
loop_
_symmetry_equiv_pos_as_xyz
'x,y,z'
loop_
_atom_site_label
_atom_site_fract_x
_atom_site_fract_y
_atom_site_fract_z
Rb1 0.0000 0.0000 0.5000
Rb2 0.0000 0.5000 0.0000
Rb3 0.5000 0.0000 0.0000
In1 0.0000 0.0000 0.0000
Hg1 0.5000 0.5000 0.5000
# Raw total energy: -5.38 eV for the cell shown
# ΔH_f (0 K): 112 meV per atom
# Size of the total moment: 0.00 μB/f.u.
# Energy relative to the lowest polymorph listed for this composition: 166 meV per atom

***

# Rb4InHg4 | Alexandria | GGA-PBE | relaxed
data_Rb4InHg4
_chemical_formula_sum 'Rb4 In1 Hg4'
_cell_length_a 9.3486
_cell_length_b 9.3486
_cell_length_c 9.3486
_cell_angle_alpha 132.15
_cell_angle_beta 132.15
_cell_angle_gamma 69.99
_symmetry_space_group_name_H-M 'P 1'
_symmetry_Int_Tables_number 1
loop_
_symmetry_equiv_pos_as_xyz
'x,y,z'
loop_
_atom_site_label
_atom_site_fract_x
_atom_site_fract_y
_atom_site_fract_z
Rb1 0.1431 0.1431 0.5708
Rb2 0.4277 0.8569 0.0000
Rb3 0.5723 0.5723 0.4292
Rb4 0.8569 0.4277 0.0000
In1 0.0000 0.0000 0.0000
Hg1 0.1148 0.6593 0.0000
Hg2 0.3407 0.3407 0.4555
Hg3 0.6593 0.1148 0.0000
Hg4 0.8852 0.8852 0.5445
# Raw total energy: -9.13 eV for the cell shown
# ΔH_f (0 K): -146 meV per atom
# Size of the total moment: 0.00 μB/f.u.